# 1
Computed, not measured: a geometry-optimized Ca2PW structure at the GGA-PBEsol level of DFT.

Output
Total energy   -5.439 eV/atom
N(E_F)   7.5 states/eV per cell
Offset from the most stable computed form   0.000 eV/atom
ΔE_f   527 meV per atom
Magnetization   0.000 μB per cell

a b c (Å): 4.000 4.000 9.286
angles (deg): 90.00 90.00 90.00
Space group I4/mmm (No. 139)
Symmetry-distinct sites (fractional):
Ca  0.000  0.500  0.250 [4 per cell]
P  0.000  0.000  0.000 [2 per cell]
W  0.000  0.000  0.500 [2 per cell]

# 2
Computed, not measured: a geometry-optimized Ca3PW structure at the GGA-PBEsol level of DFT.

Output
Total energy   -4.061 eV/atom
N(E_F)   5.9 states/eV per cell
Offset from the most stable computed form   0.536 eV/atom
ΔE_f   1138 meV per atom
Magnetization   0.001 μB per cell

a b c (Å): 5.263 5.263 5.263
angles (deg): 90.00 90.00 90.00
Space group Pm-3m (No. 221)
Symmetry-distinct sites (fractional):
Ca  0.000  0.000  0.500 [3 per cell]
P  0.500  0.500  0.500 [1 per cell]
W  0.000  0.000  0.000 [1 per cell]

# 3
Computed, not measured: a geometry-optimized Ca2PW structure at the GGA-PBEsol level of DFT.

Output
Total energy   -5.398 eV/atom
N(E_F)   7.1 states/eV per cell
Offset from the most stable computed form   0.041 eV/atom
ΔE_f   568 meV per atom
Magnetization   0.005 μB per cell

a b c (Å): 4.264 4.264 8.585
angles (deg): 90.00 90.00 90.00
Space group I-4m2 (No. 119)
Symmetry-distinct sites (fractional):
Ca  0.000  0.000  0.000 [2 per cell]
Ca  0.000  0.500  0.250 [2 per cell]
P  0.000  0.000  0.500 [2 per cell]
W  0.000  0.500  0.750 [2 per cell]

# 4
Computed, not measured: a geometry-optimized CaYP2 structure at the GGA-PBEsol level of DFT.

Output
Total energy   -6.067 eV/atom
N(E_F)   3.9 states/eV per cell
ΔE_f   -932 meV per atom
Magnetization   0.000 μB per cell

a b c (Å): 7.345 7.345 6.801
angles (deg): 90.00 90.00 90.00
Space group I-42d (No. 122)
Symmetry-distinct sites (fractional):
Ca  0.000  0.000  0.000 [4 per cell]
Y  0.000  0.000  0.500 [4 per cell]
P  0.244  0.750  0.625 [8 per cell]

# 5
Computed, not measured: a geometry-optimized CaY4P structure at the GGA-PBEsol level of DFT.

Output
Total energy   -5.451 eV/atom
N(E_F)   32.0 states/eV per cell
ΔE_f   418 meV per atom
Magnetization   0.001 μB per cell

a b c (Å): 8.987 8.987 8.987
angles (deg): 90.00 90.00 90.00
Space group F-43m (No. 216)
Symmetry-distinct sites (fractional):
Ca  0.000  0.000  0.000 [4 per cell]
Y  0.125  0.125  0.625 [16 per cell]
P  0.250  0.250  0.250 [4 per cell]

# 6
Computed, not measured: a geometry-optimized CaYP structure at the GGA-PBEsol level of DFT.

Output
Total energy   -5.702 eV/atom
N(E_F)   3.0 states/eV per cell
ΔE_f   -786 meV per atom
Magnetization   0.000 μB per cell

a b c (Å): 3.525 3.525 12.595
angles (deg): 90.00 90.00 90.00
Space group I4mm (No. 107)
Symmetry-distinct sites (fractional):
Ca  0.000  0.000  0.000 [2 per cell]
Y  0.000  0.000  0.250 [2 per cell]
P  0.000  0.000  0.644 [2 per cell]

# 7
Computed, not measured: a geometry-optimized Ca3YP structure at the GGA-PBEsol level of DFT.

Output
Total energy   -4.074 eV/atom
N(E_F)   4.3 states/eV per cell
ΔE_f   -272 meV per atom
Magnetization   0.000 μB per cell

a b c (Å): 5.531 5.531 5.531
angles (deg): 90.00 90.00 90.00
Space group Pm-3m (No. 221)
Symmetry-distinct sites (fractional):
Ca  0.000  0.000  0.500 [3 per cell]
Y  0.500  0.500  0.500 [1 per cell]
P  0.000  0.000  0.000 [1 per cell]

# 8
Computed, not measured: a geometry-optimized CaYP3 structure at the GGA-PBEsol level of DFT.

Output
Total energy   -4.956 eV/atom
N(E_F)   3.1 states/eV per cell
ΔE_f   310 meV per atom
Magnetization   0.000 μB per cell

a b c (Å): 4.927 4.927 4.927
angles (deg): 90.00 90.00 90.00
Space group Pm-3m (No. 221)
Symmetry-distinct sites (fractional):
Ca  0.000  0.000  0.000 [1 per cell]
Y  0.500  0.500  0.500 [1 per cell]
P  0.000  0.000  0.500 [3 per cell]